(1)
Material: DyHo2Hg
Method: DFT, PBE
State: relaxed

Cell and atoms, written as POSCAR:
```
DyHo2Hg
1.0
3.588 0.000 0.000
1.794 3.107 0.000
1.794 1.036 10.523
Hg Ho Dy
1 2 1
Cartesian
0.000 0.000 0.000 Hg
5.382 3.107 8.117 Ho
1.794 1.036 2.406 Ho
3.588 2.071 5.262 Dy
```

Crystal system   trigonal
E_form   -0.16 eV per atom
Uncorrected energy   -14.7 eV/cell
Total magnetization   0.0 μB per cell



(2)
Material: Dy6Ho2Hg
Method: DFT, PBE
State: relaxed

Cell and atoms, written as POSCAR:
```
Dy6Ho2Hg
1.0
3.525 0.000 0.275
0.000 9.263 0.000
-0.675 -4.631 8.593
Dy Ho Hg
6 2 1
Cartesian
-0.455 -2.994 5.810 Dy
3.305 1.638 3.058 Dy
1.763 6.521 0.138 Dy
3.305 7.625 3.058 Dy
1.763 2.742 0.138 Dy
-0.455 2.994 5.810 Dy
1.516 4.631 3.263 Ho
1.334 0.000 5.606 Ho
0.000 0.000 0.000 Hg
```

Crystal system   orthorhombic
E_form   0.03 eV per atom
Uncorrected energy   -36.8 eV/cell
Total magnetization   0.0 μB per cell



(3)
Material: DyHoHg5
Method: DFT, PBE
State: relaxed

Cell and atoms, written as POSCAR:
```
DyHoHg5
1.0
4.592 0.000 0.000
0.000 4.592 0.000
0.000 0.000 8.687
Hg Ho Dy
5 1 1
Cartesian
0.000 2.296 2.070 Hg
2.296 0.000 2.070 Hg
2.296 2.296 4.343 Hg
0.000 2.296 6.617 Hg
2.296 0.000 6.617 Hg
0.000 0.000 4.343 Ho
2.296 2.296 0.000 Dy
```

Crystal system   tetragonal
E_form   -0.26 eV per atom
Uncorrected energy   -12.5 eV/cell
Total magnetization   0.0 μB per cell



(4)
Material: Dy2Ho2Hg3
Method: DFT, PBE
State: relaxed

Cell and atoms, written as POSCAR:
```
Dy2Ho2Hg3
1.0
4.983 -0.012 -1.384
-2.696 4.428 -0.003
-0.180 -0.109 8.932
Hg Ho Dy
3 2 2
Cartesian
0.000 0.000 0.000 Hg
0.436 3.296 1.572 Hg
1.672 1.011 5.973 Hg
-0.624 2.652 7.379 Ho
2.732 1.655 0.166 Ho
1.247 3.787 4.488 Dy
0.861 0.520 3.057 Dy
```

Crystal system   monoclinic
E_form   -0.32 eV per atom
Uncorrected energy   -21.5 eV/cell
Total magnetization   0.0 μB per cell



(5)
Material: Dy4Ho2Hg
Method: DFT, PBE
State: relaxed

Cell and atoms, written as POSCAR:
```
Dy4Ho2Hg
1.0
-2.457 1.913 1.620
-5.706 -2.610 -5.571
2.213 -5.411 5.944
Ho Dy Hg
2 4 1
Cartesian
-5.579 -3.813 -0.156 Ho
-0.371 -2.296 2.149 Ho
-2.101 -3.546 4.805 Dy
-3.849 -2.562 -2.812 Dy
-3.204 -1.224 0.389 Dy
-2.746 -4.884 1.604 Dy
0.000 0.000 0.000 Hg
```

Crystal system   monoclinic
E_form   0.00 eV per atom
Uncorrected energy   -27.9 eV/cell
Total magnetization   0.0 μB per cell



(6)
Material: Dy3HoHg3
Method: DFT, PBE
State: relaxed

Cell and atoms, written as POSCAR:
```
Dy3HoHg3
1.0
-1.787 -0.963 4.728
6.696 -6.284 1.251
1.450 8.847 2.349
Dy Hg Ho
6 6 2
Cartesian
0.727 6.461 2.990 Dy
6.042 3.778 4.453 Dy
5.632 -4.860 5.339 Dy
0.316 -2.178 3.876 Dy
1.486 0.449 2.053 Dy
4.872 1.151 6.276 Dy
4.180 1.658 3.318 Hg
3.528 5.697 3.893 Hg
0.547 3.332 2.285 Hg
2.830 -4.097 4.435 Hg
5.812 -1.732 6.044 Hg
2.178 -0.058 5.011 Hg
1.858 3.081 5.529 Ho
4.500 -1.481 2.799 Ho
```

Crystal system   hexagonal
E_form   -0.28 eV per atom
Uncorrected energy   -42.5 eV/cell
Total magnetization   0.0 μB per cell